Entry 1:
VASP calculation (PBE-GGA) on a relaxed Li3Ho2PuSe6 crystal.

Results
The calculation puts the total DFT energy (no corrections) at -5.758 eV per atom. The uncorrected formation energy comes out at -1580 meV/atom. Its space group is C2/m.

a = 7.077 Å, b = 7.077 Å, c = 6.888 Å
α = 99.85°, β = 99.85°, γ = 119.99°
Sites, in units of the cell vectors:
Ho: 0.667 0.333 0.000
Pu: 0.000 0.000 0.000
Se: 0.746 0.746 0.254
Se: 0.916 0.577 0.747
Se: 0.577 0.916 0.747
Se: 0.423 0.084 0.253
Se: 0.254 0.254 0.746
Se: 0.084 0.423 0.253
Ho: 0.333 0.667 0.000
Li: 0.167 0.833 0.500
Li: 0.833 0.167 0.500
Li: 0.500 0.500 0.500

=====

Entry 2:
VASP calculation (PBE-GGA) on a relaxed Li2Ho3PuSe6 crystal.

Results
The calculation puts the total DFT energy (no corrections) at -6.069 eV per atom. The uncorrected formation energy comes out at -1669 meV/atom. Its space group is C2/m.

a = 4.060 Å, b = 8.117 Å, c = 9.101 Å
α = 103.05°, β = 102.89°, γ = 90.00°
Sites, in units of the cell vectors:
Se: 0.333 0.417 0.667
Li: 0.175 0.350 0.351
Se: 0.669 0.088 0.339
Ho: 0.833 0.168 0.667
Ho: 0.500 0.500 0.000
Se: 0.667 0.583 0.333
Se: 0.998 0.744 0.996
Se: 0.002 0.256 0.004
Pu: 0.500 0.000 0.000
Ho: 0.167 0.832 0.333
Se: 0.331 0.912 0.661
Li: 0.825 0.650 0.649